(1)
{
  "formula": "Sc2TlCr",
  "functional": "PBE",
  "state": "relaxed",
  "spacegroup": "No. 166",
  "formation_energy_ev_per_atom": 0.360,
  "lattice_angstrom": [[1.8742, 0.0000, 10.2362], [-0.9371, 1.6231, 10.2362], [-0.9371, -1.6231, 10.2362]],
  "species": ["Sc", "Sc", "Cr", "Tl"],
  "frac_coords": [[0.9004, 0.9004, 0.9004], [0.0996, 0.0996, 0.0996], [0.5000, 0.5000, 0.5000], [0.0000, 0.0000, 0.0000]]
}

(2)
{
  "formula": "Sc2TlCr",
  "functional": "PBE",
  "state": "relaxed",
  "spacegroup": "No. 71",
  "formation_energy_ev_per_atom": 0.637,
  "lattice_angstrom": [[-5.7748, 2.7396, 1.6127], [4.7332, -3.1307, 3.3541], [6.4683, 0.3405, -1.2247]],
  "species": ["Sc", "Sc", "Tl", "Cr"],
  "frac_coords": [[0.0000, 0.2425, 0.2425], [0.0000, 0.7575, 0.7575], [0.0000, 0.5000, 0.5000], [0.0000, 0.0000, 0.0000]]
}

(3)
{
  "formula": "Sc2TlCr",
  "functional": "PBE",
  "state": "relaxed",
  "spacegroup": "No. 122",
  "formation_energy_ev_per_atom": 0.532,
  "lattice_angstrom": [[-4.9672, 5.6911, 0.0455], [-4.6367, -4.0816, 4.3481], [-3.5303, 1.8956, 4.5769]],
  "species": ["Sc", "Sc", "Sc", "Sc", "Cr", "Cr", "Tl", "Tl"],
  "frac_coords": [[0.5855, 0.1250, 0.2500], [0.1645, 0.6250, 0.2500], [0.3750, 0.4145, 0.7500], [0.8750, 0.8355, 0.7500], [0.5000, 0.5000, 0.0000], [0.2500, 0.7500, 0.5000], [0.0000, 0.0000, 0.0000], [0.7500, 0.2500, 0.5000]]
}

(4)
{
  "formula": "Sc2TlCr",
  "functional": "PBE",
  "state": "relaxed",
  "spacegroup": "No. 160",
  "formation_energy_ev_per_atom": 0.309,
  "lattice_angstrom": [[9.9734, -0.0077, -0.0045], [9.4406, 3.2162, -0.0045], [9.4406, 1.5602, 2.8124]],
  "species": ["Cr", "Sc", "Sc", "Tl"],
  "frac_coords": [[0.7501, 0.7501, 0.7501], [0.0049, 0.0049, 0.0049], [0.2493, 0.2493, 0.2493], [0.4956, 0.4956, 0.4956]]
}

(5)
{
  "formula": "ScTlCr",
  "functional": "PBE",
  "state": "relaxed",
  "spacegroup": "No. 216",
  "formation_energy_ev_per_atom": 0.647,
  "lattice_angstrom": [[-1.4599, -3.7958, 2.4030], [1.1972, -4.3279, -1.4662], [3.0990, -2.5609, 2.4803]],
  "species": ["Cr", "Sc", "Tl"],
  "frac_coords": [[0.5000, 0.5000, 0.5000], [0.7500, 0.7500, 0.7500], [0.0000, 0.0000, 0.0000]]
}

(6)
{
  "formula": "ScTl2Cr",
  "functional": "PBE",
  "state": "relaxed",
  "spacegroup": "No. 119",
  "formation_energy_ev_per_atom": 0.242,
  "lattice_angstrom": [[5.7128, 0.0087, 0.0000], [2.4448, 5.1633, 0.0000], [-4.0788, -2.5860, 3.0516]],
  "species": ["Cr", "Sc", "Tl", "Tl"],
  "frac_coords": [[0.5000, 0.5000, 0.0000], [0.7500, 0.2500, 0.5000], [0.0000, 0.0000, 0.0000], [0.2500, 0.7500, 0.5000]]
}

Calculated mass density in order - 6.16; 6.05; 6.92; 6.35; 6.71; 9.34 g/cm3